[1]
Below is Li2LaDy after structural relaxation, with properties calculated at the PBE-GGA level.

Results
As for the energy above the lowest structure with this stoichiometry: 0 meV/atom. The formation energy is 0.607 eV per formula unit.

Unit cell a=3.779 b=3.779 c=7.658 alpha=90.00 beta=90.00 gamma=90.00
Atoms (fractional coordinates):
1 Li 0.000 0.000 0.760
2 Li 0.000 0.000 0.240
3 Dy 0.500 0.500 0.000
4 La 0.500 0.500 0.500

[2]
Below is ScSi2Rh4 after structural relaxation, with properties calculated at the PBE-GGA level.

Results
Its formation energy without anion corrections is -0.941 eV/atom.

Unit cell a=4.034 b=5.757 c=17.582 alpha=90.00 beta=90.00 gamma=90.00
Atoms (fractional coordinates):
1 Rh 0.250 0.986 0.917
2 Si 0.250 0.538 0.286
3 Sc 0.750 0.982 0.626
4 Rh 0.250 0.700 0.683
5 Si 0.750 0.277 0.459
6 Sc 0.750 0.518 0.126
7 Rh 0.750 0.014 0.083
8 Rh 0.750 0.200 0.817
9 Rh 0.250 0.234 0.690
10 Si 0.750 0.038 0.214
11 Rh 0.750 0.840 0.470
12 Sc 0.250 0.018 0.374
13 Rh 0.250 0.160 0.530
14 Rh 0.750 0.766 0.310
15 Rh 0.750 0.660 0.970
16 Si 0.750 0.462 0.714
17 Si 0.250 0.777 0.041
18 Sc 0.250 0.482 0.874
19 Si 0.250 0.962 0.786
20 Rh 0.250 0.800 0.183
21 Rh 0.250 0.340 0.030
22 Rh 0.250 0.514 0.417
23 Si 0.250 0.723 0.541
24 Si 0.750 0.223 0.959
25 Rh 0.250 0.266 0.190
26 Rh 0.750 0.300 0.317
27 Rh 0.750 0.734 0.810
28 Rh 0.750 0.486 0.583